[1]
Density functional theory data (PBE) for a relaxed NdCd2Pd2 crystal.

## Properties
Crystal system: monoclinic
Fermi-level density of states (states/eV/cell): 5.02
DFT formation energy (meV/atom): -531

Cell: 5.382 4.741 9.039 Å, 90.00 105.25 90.00°
Fractional coordinates of all 10 atoms:
1 Nd 0.160 0.250 0.273
2 Nd 0.840 0.750 0.727
3 Cd 0.246 0.250 0.645
4 Cd 0.376 0.750 0.039
5 Cd 0.624 0.250 0.961
6 Cd 0.754 0.750 0.355
7 Pd 0.103 0.250 0.923
8 Pd 0.324 0.750 0.488
9 Pd 0.676 0.250 0.512
10 Pd 0.897 0.750 0.077

[2]
Density functional theory data (PBE) for a relaxed Nd3Cd2Pd2 crystal.

## Properties
Crystal system: orthorhombic
Fermi-level density of states (states/eV/cell): 12.18
DFT formation energy (meV/atom): -576

Cell: 4.142 22.886 3.819 Å, 90.00 90.00 90.00°
Fractional coordinates of all 14 atoms:
1 Nd 0.000 0.000 0.000
2 Nd 0.000 0.170 0.000
3 Nd 0.000 0.830 0.000
4 Nd 0.500 0.330 0.000
5 Nd 0.500 0.500 0.000
6 Nd 0.500 0.670 0.000
7 Cd 0.000 0.418 0.500
8 Cd 0.000 0.582 0.500
9 Cd 0.500 0.082 0.500
10 Cd 0.500 0.918 0.500
11 Pd 0.000 0.289 0.500
12 Pd 0.000 0.711 0.500
13 Pd 0.500 0.211 0.500
14 Pd 0.500 0.789 0.500

[3]
Density functional theory data (PBE) for a relaxed NdCd4Pd crystal.

## Properties
Crystal system: cubic
E above lowest polymorph (eV per atom): 0.169
Fermi-level density of states (states/eV/cell): 3.69
DFT formation energy (meV/atom): -192

Cell: 5.759 5.759 5.759 Å, 60.00 60.00 60.00°
Fractional coordinates of all 6 atoms:
1 Nd 0.000 0.000 0.000
2 Cd 0.376 0.376 0.376
3 Cd 0.376 0.376 0.873
4 Cd 0.376 0.873 0.376
5 Cd 0.873 0.376 0.376
6 Pd 0.750 0.750 0.750

- What is the Fermi-level density of states in the first record?
  5.02 states/eV/cell